{"formula": "DyHoTlHg", "functional": "PBE-GGA", "state": "relaxed", "total_energy_ev_per_atom": -3.370, "formation_enthalpy_0k_mev_per_atom": -408.1, "e_above_lowest_polymorph_ev_per_atom": 0.0000, "cell": [[3.755, 0.000, 0.000], [0.000, 3.755, 0.000], [0.000, 0.000, 7.499]], "species": ["Dy", "Ho", "Tl", "Hg"], "frac_coords": [[0.000, 0.000, 0.000], [0.000, 0.000, 0.483], [0.500, 0.500, 0.740], [0.500, 0.500, 0.244]]}

---

{"formula": "DyHo2Tl2Hg2", "functional": "PBE-GGA", "state": "relaxed", "total_energy_ev_per_atom": -2.898, "formation_enthalpy_0k_mev_per_atom": -170.6, "cell": [[2.492, 1.438, 8.811], [-2.492, 1.438, 8.811], [0.000, -2.877, 8.811]], "species": ["Dy", "Ho", "Ho", "Tl", "Tl", "Hg", "Hg"], "frac_coords": [[0.000, 0.000, 0.000], [0.132, 0.132, 0.132], [0.868, 0.868, 0.868], [0.274, 0.274, 0.274], [0.726, 0.726, 0.726], [0.436, 0.436, 0.436], [0.564, 0.564, 0.564]]}

---

{"formula": "DyHoTlHg", "functional": "PBE-GGA", "state": "relaxed", "total_energy_ev_per_atom": -3.367, "formation_enthalpy_0k_mev_per_atom": -404.8, "e_above_lowest_polymorph_ev_per_atom": 0.0032, "cell": [[0.000, 3.753, 3.753], [3.753, 0.000, 3.753], [3.753, 3.753, 0.000]], "species": ["Dy", "Ho", "Tl", "Hg"], "frac_coords": [[0.000, 0.000, 0.000], [0.500, 0.500, 0.500], [0.250, 0.250, 0.250], [0.750, 0.750, 0.750]]}

---

| no. | volume (Å³ per cell) |
| --- | --- |
| 1 | 105.7 |
| 2 | 189.5 |
| 3 | 105.7 |